Record 1
First-principles (PBE-GGA) data for an optimized crystal structure of AcCeSi2Pt5, as listed in Alexandria.

Structure (POSCAR):
```
AcCeSi2Pt5
1.0
4.2955 0.0000 0.0000
0.0000 4.2955 0.0000
0.0000 0.0000 10.8375
Ac Ce Si Pt
1 1 2 5
Direct
0.0000 0.0000 0.5000 Ac
0.0000 0.0000 0.0000 Ce
0.5000 0.5000 0.2825 Si
0.5000 0.5000 0.7175 Si
0.0000 0.5000 0.1886 Pt
0.5000 0.0000 0.1886 Pt
0.0000 0.5000 0.8114 Pt
0.5000 0.0000 0.8114 Pt
0.5000 0.5000 0.5000 Pt
```

Properties
- Total magnetization: 0.048 μB per atom
- Calculated volume: 22.22 Å³ per atom
- Uncorrected formation energy: -0.8985 eV/atom
- Energy: -6.58 eV/atom


Record 2
First-principles (PBE-GGA) data for an optimized crystal structure of Ac2CeSi3Pt4, as listed in Alexandria.

Structure (POSCAR):
```
Ac2CeSi3Pt4
1.0
-2.0185 -3.5861 -1.5872
1.9820 -2.4732 3.0674
-8.4053 1.7153 6.8140
Ac Ce Si Pt
2 1 3 4
Direct
0.5000 0.0000 0.2315 Ac
0.0000 0.5000 0.7685 Ac
0.5000 0.5000 0.5000 Ce
0.0000 0.0000 0.5000 Si
0.5000 0.0000 0.8885 Si
0.0000 0.5000 0.1115 Si
0.5000 0.5000 0.0000 Pt
0.0000 0.0000 0.0000 Pt
0.5000 0.0000 0.6648 Pt
0.0000 0.5000 0.3352 Pt
```

Properties
- Total magnetization: 0.000 μB per atom
- Calculated volume: 21.31 Å³ per atom
- Uncorrected formation energy: -0.9993 eV/atom
- Energy: -6.46 eV/atom


Record 3
First-principles (PBE-GGA) data for an optimized crystal structure of AcCeSiPt, as listed in Alexandria.

Structure (POSCAR):
```
AcCeSiPt
1.0
5.2607 0.0000 0.0000
2.6304 4.5559 0.0000
2.6304 1.5186 4.2954
Ac Si Ce Pt
1 1 1 1
Direct
0.0000 0.0000 0.0000 Ac
0.2500 0.2500 0.2500 Si
0.5000 0.5000 0.5000 Ce
0.7500 0.7500 0.7500 Pt
```

Properties
- Total magnetization: 0.237 μB per atom
- Calculated volume: 25.74 Å³ per atom
- Uncorrected formation energy: -0.6240 eV/atom
- Energy: -6.00 eV/atom


Record 4
First-principles (PBE-GGA) data for an optimized crystal structure of Ac2CeSn4Pt3, as listed in Alexandria.

Structure (POSCAR):
```
Ac2CeSn4Pt3
1.0
4.5869 0.0000 0.0000
0.0000 4.5869 0.0000
0.0000 0.0000 12.4745
Ac Ce Sn Pt
2 1 4 3
Direct
0.5000 0.0000 0.2278 Ac
0.0000 0.5000 0.7722 Ac
0.5000 0.5000 0.5000 Ce
0.5000 0.5000 0.0000 Sn
0.0000 0.0000 0.0000 Sn
0.5000 0.0000 0.6629 Sn
0.0000 0.5000 0.3371 Sn
0.0000 0.0000 0.5000 Pt
0.5000 0.0000 0.8789 Pt
0.0000 0.5000 0.1211 Pt
```

Properties
- ΔH_f (0 K): -799.0 meV per atom
- Total magnetization: 0.066 μB per atom
- Calculated volume: 26.25 Å³ per atom
- Energy: -5.63 eV/atom


| no. | mass density (g/cm3) |
| --- | --- |
| 1 | 11.61 |
| 2 | 11.37 |
| 3 | 9.52 |
| 4 | 10.47 |